# Sm3Ga6Cu5

A relaxed structure of Sm3Ga6Cu5 (PBE, Alexandria). Values from VASP.

Output
As for the spin magnetization: 0.00 Bohr magnetons per cell. The value obtained for the density is 7.912 g cm⁻³. The calculation puts the density of states at the Fermi level at 8.41 states/eV/f.u. The calculation puts the calculated total energy at -4.197 eV/atom. The energy of formation from the pure elements is -0.43 eV per atom.

Quantum ESPRESSO input file:
```
&SYSTEM
  ibrav = 0, nat = 28, ntyp = 3
/
ATOMIC_SPECIES
Sm 150.36 Sm.upf
Ga 69.72 Ga.upf
Cu 63.55 Cu.upf
CELL_PARAMETERS angstrom
-0.313 4.106 -1.377
-7.488 -1.997 -4.253
-6.837 3.035 10.610
ATOMIC_POSITIONS crystal
Sm 0.000 0.251 0.706
Sm 0.500 0.749 0.206
Sm 0.500 0.749 0.794
Sm 0.000 0.260 0.000
Sm 0.500 0.740 0.500
Sm 0.000 0.251 0.294
Ga 0.000 0.971 0.855
Ga 0.500 0.029 0.645
Ga 0.500 0.391 0.840
Ga 0.500 0.572 0.000
Ga 0.000 0.428 0.500
Ga 0.000 0.609 0.660
Ga 0.000 0.609 0.340
Ga 0.500 0.942 0.000
Ga 0.000 0.971 0.145
Ga 0.500 0.391 0.160
Ga 0.000 0.058 0.500
Ga 0.500 0.029 0.355
Cu 0.000 0.534 0.863
Cu 0.000 0.889 0.655
Cu 0.000 0.754 0.000
Cu 0.500 0.466 0.637
Cu 0.500 0.246 0.500
Cu 0.000 0.534 0.137
Cu 0.500 0.466 0.363
Cu 0.000 0.889 0.345
Cu 0.500 0.111 0.845
Cu 0.500 0.111 0.155
```


# SmGa4Cu4

A relaxed structure of SmGa4Cu4 (PBE, Alexandria). Values from VASP.

Output
As for the spin magnetization: 0.00 Bohr magnetons per cell. The value obtained for the density is 7.527 g cm⁻³. The calculation puts the density of states at the Fermi level at 0.91 states/eV/f.u. The calculation puts the calculated total energy at -3.852 eV/atom. The energy of formation from the pure elements is -0.16 eV per atom.

Quantum ESPRESSO input file:
```
&SYSTEM
  ibrav = 0, nat = 18, ntyp = 3
/
ATOMIC_SPECIES
Sm 150.36 Sm.upf
Ga 69.72 Ga.upf
Cu 63.55 Cu.upf
CELL_PARAMETERS angstrom
4.457 0.000 0.000
0.000 8.225 0.000
0.000 0.000 8.225
ATOMIC_POSITIONS crystal
Sm 0.000 0.000 0.000
Sm 0.500 0.500 0.500
Ga 0.500 0.400 0.870
Ga 0.000 0.630 0.900
Ga 0.500 0.600 0.130
Ga 0.000 0.100 0.630
Ga 0.500 0.870 0.600
Ga 0.000 0.900 0.370
Ga 0.000 0.370 0.100
Ga 0.500 0.130 0.400
Cu 0.500 0.884 0.217
Cu 0.500 0.116 0.783
Cu 0.000 0.717 0.616
Cu 0.000 0.384 0.717
Cu 0.000 0.616 0.283
Cu 0.500 0.217 0.116
Cu 0.500 0.783 0.884
Cu 0.000 0.283 0.384
```


# Sm3Ga2Cu

A relaxed structure of Sm3Ga2Cu (PBE, Alexandria). Values from VASP.

Output
As for the spin magnetization: 0.00 Bohr magnetons per cell. The value obtained for the density is 7.327 g cm⁻³. The calculation puts the density of states at the Fermi level at 5.51 states/eV/f.u. The calculation puts the calculated total energy at -4.498 eV/atom. The energy of formation from the pure elements is -0.45 eV per atom.

Quantum ESPRESSO input file:
```
&SYSTEM
  ibrav = 0, nat = 24, ntyp = 3
/
ATOMIC_SPECIES
Sm 150.36 Sm.upf
Ga 69.72 Ga.upf
Cu 63.55 Cu.upf
CELL_PARAMETERS angstrom
-2.311 -3.463 1.353
-2.935 -2.240 -10.748
9.644 -6.902 -1.195
ATOMIC_POSITIONS crystal
Sm 0.250 0.372 0.051
Sm 0.750 0.628 0.949
Sm 0.750 0.872 0.449
Sm 0.250 0.128 0.551
Sm 0.250 0.700 0.221
Sm 0.750 0.300 0.779
Sm 0.750 0.200 0.279
Sm 0.250 0.800 0.721
Sm 0.250 0.437 0.373
Sm 0.750 0.563 0.627
Sm 0.750 0.937 0.127
Sm 0.250 0.063 0.873
Ga 0.250 0.683 0.484
Ga 0.750 0.317 0.516
Ga 0.750 0.183 0.016
Ga 0.250 0.817 0.984
Ga 0.250 0.999 0.311
Ga 0.750 0.001 0.689
Ga 0.750 0.499 0.189
Ga 0.250 0.501 0.811
Cu 0.250 0.122 0.124
Cu 0.750 0.878 0.876
Cu 0.750 0.622 0.376
Cu 0.250 0.378 0.624
```